Below is a geometry-optimized K2Ba2Hg structure, with properties calculated at the GGA-PBE level.

Lattice parameters (Å, degrees): 8.863 8.863 7.009 90.00 90.00 90.00
Positions (direct):
K 0.149 0.351 0.000
K 0.351 0.851 0.000
K 0.649 0.149 0.000
K 0.851 0.649 0.000
Ba 0.181 0.681 0.500
Ba 0.319 0.181 0.500
Ba 0.681 0.819 0.500
Ba 0.819 0.319 0.500
Hg 0.000 0.000 0.000
Hg 0.500 0.500 0.000

Results
Excess energy over the best structure of this formula in the dataset ... 284 meV per atom
SG ... No. 127
Total magnetic moment ... 0.00 μB/cell
DFT formation energy ... 0.07 eV/atom
Volume ... 55.062 A^3/atom